1.
Density functional theory data (PBE) for crystalline Pm8Pr4Sc at its relaxed geometry.

**DFT formation energy**: 0.206 eV/atom
**M_tot**: 0.000 μB per atom
**E**: -4.6747 eV/atom

Unit cell a=12.776 b=11.453 c=10.782 alpha=90.00 beta=147.53 gamma=116.77
Sites, in units of the cell vectors:
Pm1 0.556 0.779 0.262
Pm2 0.443 0.221 0.149
Pm3 0.000 0.739 0.195
Pm4 0.999 0.739 0.805
Pm5 0.444 0.221 0.738
Pm6 0.001 0.261 0.196
Pm7 0.557 0.779 0.851
Pm8 0.000 0.261 0.805
Pr1 0.500 0.500 0.000
Pr2 0.000 0.000 0.000
Pr3 0.500 0.000 0.000
Pr4 0.000 0.500 0.000
Sc1 0.000 0.500 0.500

=====

2.
Density functional theory data (PBE) for crystalline GaHg3Pb3 at its relaxed geometry.

**DFT formation energy**: 0.056 eV/atom
**Offset from the most stable computed form**: 0.000 eV per atom
**M_tot**: 0.000 μB per atom
**E**: -2.0954 eV/atom

Unit cell a=7.561 b=7.561 c=7.034 alpha=96.42 beta=96.42 gamma=80.98
Sites, in units of the cell vectors:
Ga1 0.068 0.068 0.189
Ga2 0.932 0.932 0.811
Hg1 0.546 0.927 0.745
Hg2 0.807 0.807 0.133
Hg3 0.454 0.073 0.255
Hg4 0.927 0.546 0.745
Hg5 0.073 0.454 0.255
Hg6 0.193 0.193 0.867
Pb1 0.384 0.384 0.619
Pb2 0.806 0.194 0.500
Pb3 0.309 0.691 0.000
Pb4 0.691 0.309 0.000
Pb5 0.616 0.616 0.381
Pb6 0.194 0.806 0.500

=====

3.
Density functional theory data (PBE) for crystalline K2BaNdF8 at its relaxed geometry.

**M_tot**: 0.097 μB per atom
**E**: -5.2515 eV/atom
**Energy relative to the elements, uncorrected**: -3.26 eV per atom

Unit cell a=6.147 b=6.147 c=7.431 alpha=114.43 beta=114.43 gamma=90.00
Sites, in units of the cell vectors:
F1 0.586 0.637 0.731
F2 0.586 0.095 0.731
F3 0.145 0.095 0.731
F4 0.145 0.637 0.731
F5 0.905 0.855 0.269
F6 0.363 0.414 0.269
F7 0.905 0.414 0.269
F8 0.363 0.855 0.269
Nd1 0.250 0.750 0.500
K1 0.000 0.000 0.000
K2 0.750 0.250 0.500
Ba1 0.500 0.500 0.000

=====

4.
Density functional theory data (PBE) for crystalline LiCa2H4 at its relaxed geometry.

**Offset from the most stable computed form**: 0.058 eV per atom
**M_tot**: 0.143 μB per atom
**E**: -3.1139 eV/atom

Unit cell a=3.466 b=5.883 c=5.578 alpha=112.02 beta=108.10 gamma=90.00
Sites, in units of the cell vectors:
H1 0.661 0.293 0.323
H2 0.339 0.707 0.677
H3 0.146 0.915 0.292
H4 0.854 0.085 0.708
Ca1 0.684 0.704 0.368
Ca2 0.316 0.296 0.632
Li1 0.000 0.000 0.000

=====

5.
Density functional theory data (PBE) for crystalline NiWBr at its relaxed geometry.

**Offset from the most stable computed form**: 0.208 eV per atom
**M_tot**: 0.000 μB per atom
**E**: -6.0121 eV/atom
**Energy relative to the elements, uncorrected**: 0.79 eV per atom

Unit cell a=6.937 b=6.670 c=2.943 alpha=82.65 beta=72.47 gamma=24.88
Sites, in units of the cell vectors:
W1 0.678 0.678 0.322
Br1 0.003 0.003 0.997
Ni1 0.320 0.320 0.680

=====

6.
Density functional theory data (PBE) for crystalline La6CeSm2Y at its relaxed geometry.

**DFT formation energy**: 0.225 eV/atom
**M_tot**: 0.111 μB per atom
**E**: -4.9152 eV/atom

Unit cell a=8.964 b=6.881 c=7.103 alpha=118.97 beta=107.48 gamma=90.00
Sites, in units of the cell vectors:
La1 0.809 0.410 0.296
La2 0.413 0.662 0.324
La3 0.587 0.338 0.676
La4 0.191 0.590 0.704
La5 0.809 0.887 0.296
La6 0.191 0.113 0.704
Sm1 0.819 0.897 0.794
Sm2 0.181 0.103 0.206
Y1 0.500 0.000 0.000
Ce1 0.000 0.500 0.000

=====

7.
Density functional theory data (PBE) for crystalline InPN2F at its relaxed geometry.

**M_tot**: 0.000 μB per atom
**E**: -5.0926 eV/atom
**Energy relative to the elements, uncorrected**: 0.24 eV per atom

Unit cell a=3.580 b=3.580 c=4.058 alpha=90.00 beta=90.00 gamma=90.00
Sites, in units of the cell vectors:
F1 0.000 0.000 0.500
In1 0.500 0.500 0.500
N1 0.000 0.500 0.000
N2 0.500 0.000 0.000
P1 0.000 0.000 0.000

=====

8.
Density functional theory data (PBE) for crystalline KCa2Co2 at its relaxed geometry.

**DFT formation energy**: 0.459 eV/atom
**M_tot**: 0.586 μB per atom
**E**: -3.4037 eV/atom

Unit cell a=8.266 b=8.266 c=4.091 alpha=90.00 beta=90.00 gamma=90.00
Sites, in units of the cell vectors:
Co1 0.907 0.593 0.000
Co2 0.407 0.907 0.000
Co3 0.093 0.407 0.000
Co4 0.593 0.093 0.000
Ca1 0.842 0.342 0.500
Ca2 0.342 0.158 0.500
Ca3 0.158 0.658 0.500
Ca4 0.658 0.842 0.500
K1 0.500 0.500 0.000
K2 0.000 0.000 0.000